1.
VASP calculation (PBE-GGA) on BaLu3Ru after structural relaxation.

Lattice parameters (Å, degrees): 5.4176 5.4176 5.4176 90.00 90.00 90.00
Closest atoms and distances in Å follow each position.
Space group Pm-3m (No. 221)
Symmetry-distinct sites (fractional):
Ba  0.0000  0.0000  0.0000 [1 per cell]  12 Lu 3.83
Lu  0.0000  0.5000  0.5000 [3 per cell]  2 Ru 2.71
Ru  0.5000  0.5000  0.5000 [1 per cell]  6 Lu 2.71

Results
- E: -5.12 eV/atom
- ΔE_f: -0.163 eV/atom

---

2.
VASP calculation (PBE-GGA) on BaLu2Ru after structural relaxation.

Lattice parameters (Å, degrees): 3.4357 3.4357 9.8676 90.00 90.00 90.00
Closest atoms and distances in Å follow each position.
Space group P4/mmm (No. 123)
Symmetry-distinct sites (fractional):
Ba  0.0000  0.0000  0.0000 [1 per cell]  4 Ba 3.44
Lu  0.5000  0.5000  0.3405 [2 per cell]  4 Ru 2.89, 1 Lu 3.15
Ru  0.0000  0.0000  0.5000 [1 per cell]  8 Lu 2.89

Results
- E: -5.27 eV/atom
- ΔE_f: -0.207 eV/atom

---

3.
VASP calculation (PBE-GGA) on BaLu2S4 after structural relaxation.

Lattice parameters (Å, degrees): 12.2123 3.9795 14.3453 90.00 90.00 90.00
Closest atoms and distances in Å follow each position.
Space group Pnma (No. 62)
Symmetry-distinct sites (fractional):
Ba  0.2413  0.2500  0.1628 [4 per cell]  8 S 3.18-3.35
Lu  0.0644  0.2500  0.3914 [4 per cell]  6 S 2.65-2.73
Lu  0.0789  0.2500  0.8992 [4 per cell]  6 S 2.68-2.75
S  0.0240  0.7500  0.7834 [4 per cell]  3 Lu 2.68-2.73
S  0.0808  0.2500  0.5757 [4 per cell]  3 Lu 2.65-2.71
S  0.1211  0.7500  0.0230 [4 per cell]  3 Lu 2.69-2.72
S  0.2062  0.7500  0.3425 [4 per cell]  3 Lu 2.73-2.75

Results
- E: -6.06 eV/atom

---

4.
VASP calculation (PBE-GGA) on BaLu2S after structural relaxation.

Lattice parameters (Å, degrees): 3.6957 3.6957 31.0117 90.00 90.00 120.00
Closest atoms and distances in Å follow each position.
Space group R-3m (No. 166, hexagonal axes)
Symmetry-distinct sites (fractional):
Ba  0.0000  0.0000  0.0000 [3 per cell]  2 Lu 3.60, 6 Ba 3.70
Lu  0.0000  0.0000  0.1162 [6 per cell]  3 S 2.65
S  0.0000  0.0000  0.5000 [3 per cell]  6 Lu 2.65

Results
- E: -4.45 eV/atom

---

5.
VASP calculation (PBE-GGA) on BaLu2Sc after structural relaxation.

Lattice parameters (Å, degrees): 3.8860 3.8860 9.2435 90.00 90.00 90.00
Closest atoms and distances in Å follow each position.
Space group P4/mmm (No. 123)
Symmetry-distinct sites (fractional):
Ba  0.0000  0.0000  0.0000 [1 per cell]  4 Ba 3.89, 8 Lu 4.00
Lu  0.5000  0.5000  0.3145 [2 per cell]  4 Sc 3.24, 1 Lu 3.43
Sc  0.0000  0.0000  0.5000 [1 per cell]  8 Lu 3.24

Results
- E: -4.14 eV/atom
- Energy above the lowest structure with this stoichiometry: 0.000 eV per atom
- ΔE_f: 0.186 eV/atom

---

6.
VASP calculation (PBE-GGA) on BaLu2Sc after structural relaxation.

Lattice parameters (Å, degrees): 3.4881 3.4881 37.0626 90.00 90.00 120.00
Closest atoms and distances in Å follow each position.
Space group R-3m (No. 166, hexagonal axes)
Symmetry-distinct sites (fractional):
Ba  0.0000  0.0000  0.0000 [3 per cell]  6 Ba 3.49, 2 Lu 3.57
Lu  0.0000  0.0000  0.0962 [6 per cell]  3 Sc 3.30, 6 Lu 3.49, 1 Ba 3.57
Sc  0.0000  0.0000  0.5000 [3 per cell]  6 Lu 3.30, 6 Sc 3.49

Results
- E: -4.05 eV/atom
- Energy above the lowest structure with this stoichiometry: 0.088 eV per atom
- ΔE_f: 0.273 eV/atom